# 1
Compound: ScCrIr2
Source: the Alexandria database
Functional: PBE
Structure: optimized geometry

Cell: 2.983 3.458 5.991 Å, 90.00 90.10 90.00°
Atoms (fractional coordinates):
Sc 0.000 0.000 0.000
Cr 0.000 0.000 0.500
Ir 0.500 0.500 0.270
Ir 0.500 0.500 0.730

Summary:
- SG: P2/m
- Formation energy from the elements: -0.428 eV/atom

# 2
Compound: ScCrIr2
Source: the Alexandria database
Functional: PBE
Structure: optimized geometry

Cell: 2.820 2.820 26.490 Å, 90.00 90.00 120.00°
Atoms (fractional coordinates):
Sc 0.000 0.000 0.000
Sc 0.333 0.667 0.667
Sc 0.667 0.333 0.333
Cr 0.000 0.000 0.753
Cr 0.333 0.667 0.419
Cr 0.667 0.333 0.086
Ir 0.000 0.000 0.248
Ir 0.000 0.000 0.492
Ir 0.333 0.667 0.159
Ir 0.333 0.667 0.915
Ir 0.667 0.333 0.582
Ir 0.667 0.333 0.826

Summary:
- SG: R3m
- Formation energy from the elements: 0.066 eV/atom

Look up the formation energy from the elements of the second one. 0.066 eV/atom

Which of these has the highest formation energy from the elements? number 2